BaRhC3 (PBE-GGA, optimized geometry); ΔE_f = 3.959 eV/atom; symmetry = No. 221; excess energy over the best structure of this formula in the dataset = 11.400 eV per formula unit
1.0
-0.345 -2.711 3.628
4.529 -0.235 0.255
0.036 3.637 2.721
C Rh Ba
3 1 1
direct
0.000 0.500 0.000 C
0.000 0.000 0.500 C
0.500 0.000 0.000 C
0.500 0.500 0.500 Rh
0.000 0.000 0.000 Ba

=====

BaRhC (PBE-GGA, optimized geometry); ΔE_f = 0.309 eV/atom; symmetry = No. 156; excess energy over the best structure of this formula in the dataset = 0.016 eV per formula unit
1.0
5.494 0.000 0.000
0.000 3.475 0.000
0.000 -1.738 3.010
C Rh Ba
1 1 1
direct
0.104 0.000 0.000 C
0.187 0.333 0.667 Rh
0.709 0.667 0.333 Ba

=====

Ba2RhC (PBE-GGA, optimized geometry); ΔE_f = 0.988 eV/atom; symmetry = No. 122
1.0
-5.282 -5.547 1.379
2.249 -3.743 -6.442
1.026 -6.568 -0.526
C Rh Ba
2 2 4
direct
0.500 0.500 0.000 C
0.250 0.750 0.500 C
0.000 0.000 0.000 Rh
0.750 0.250 0.500 Rh
0.604 0.125 0.250 Ba
0.146 0.625 0.250 Ba
0.375 0.396 0.750 Ba
0.875 0.854 0.750 Ba

=====

Ba3RhC (PBE-GGA, optimized geometry); ΔE_f = 0.590 eV/atom; symmetry = No. 221; excess energy over the best structure of this formula in the dataset = 0.000 eV per formula unit
1.0
-5.384 0.632 -1.132
-0.673 -5.495 0.137
-1.107 0.270 5.419
C Rh Ba
1 1 3
direct
0.000 0.000 0.000 C
0.500 0.500 0.500 Rh
0.000 0.500 0.000 Ba
0.000 0.000 0.500 Ba
0.500 0.000 0.000 Ba

=====

BaRhC3 (PBE-GGA, optimized geometry); ΔE_f = 1.679 eV/atom; symmetry = No. 221; excess energy over the best structure of this formula in the dataset = 0.000 eV per formula unit
1.0
4.181 0.000 0.000
0.000 4.181 0.000
0.000 0.000 4.181
C Rh Ba
3 1 1
direct
0.000 0.500 0.000 C
0.000 0.000 0.500 C
0.500 0.000 0.000 C
0.000 0.000 0.000 Rh
0.500 0.500 0.500 Ba

=====

Ba2RhCS (PBE-GGA, optimized geometry); symmetry = No. 123; energy relative to the elements, uncorrected = 0.38 eV/atom
1.0
5.958 0.000 0.000
0.000 4.432 0.000
0.000 0.000 5.958
C S Rh Ba
1 1 1 2
direct
0.500 0.500 0.500 C
0.000 0.500 0.000 S
0.000 0.000 0.000 Rh
0.000 0.000 0.500 Ba
0.500 0.000 0.000 Ba

=====

BaRh2CSe (PBE-GGA, optimized geometry); symmetry = No. 123; energy relative to the elements, uncorrected = 0.08 eV/atom
1.0
-2.744 2.785 1.483
0.506 -2.311 5.274
3.134 2.633 0.854
C Rh Ba Se
1 2 1 1
direct
0.000 0.000 0.000 C
0.000 0.000 0.500 Rh
0.500 0.000 0.000 Rh
0.000 0.500 0.000 Ba
0.500 0.500 0.500 Se

=====

Ba2RhCSe (PBE-GGA, optimized geometry); symmetry = No. 123; energy relative to the elements, uncorrected = -0.59 eV/atom
1.0
5.862 0.000 0.000
0.000 5.862 0.000
0.000 0.000 3.897
C Rh Ba Se
1 1 2 1
direct
0.000 0.000 0.000 C
0.000 0.000 0.500 Rh
0.000 0.500 0.000 Ba
0.500 0.000 0.000 Ba
0.500 0.500 0.500 Se

=====

BaSn2RhC (PBE-GGA, optimized geometry); ΔE_f = 2.524 eV/atom; symmetry = No. 123
1.0
-3.805 1.631 4.871
2.649 -3.053 3.091
3.913 4.847 1.434
C Rh Ba Sn
1 1 1 2
direct
0.500 0.500 0.500 C
0.000 0.500 0.000 Rh
0.000 0.000 0.000 Ba
0.000 0.000 0.500 Sn
0.500 0.000 0.000 Sn

=====

Ba2TeRhC (PBE-GGA, optimized geometry); symmetry = No. 123; energy relative to the elements, uncorrected = -0.51 eV/atom
1.0
-3.707 -3.410 3.313
4.586 -3.674 1.349
0.817 2.180 3.159
C Te Rh Ba
1 1 1 2
direct
0.000 0.000 0.000 C
0.500 0.500 0.500 Te
0.000 0.000 0.500 Rh
0.000 0.500 0.000 Ba
0.500 0.000 0.000 Ba

=====

Ba2YRhC (PBE-GGA, optimized geometry); ΔE_f = 0.986 eV/atom; symmetry = No. 123
1.0
6.003 0.000 0.000
0.000 5.182 0.000
0.000 0.000 6.003
Y C Rh Ba
1 1 1 2
direct
0.000 0.500 0.000 Y
0.500 0.500 0.500 C
0.000 0.000 0.000 Rh
0.000 0.000 0.500 Ba
0.500 0.000 0.000 Ba

=====

BaRu3C (PBE-GGA, optimized geometry); ΔE_f = 0.659 eV/atom; symmetry = No. 221; excess energy over the best structure of this formula in the dataset = 0.000 eV per formula unit
1.0
4.307 0.000 0.000
0.000 4.307 0.000
0.000 0.000 4.307
Ru C Ba
3 1 1
direct
0.000 0.500 0.000 Ru
0.000 0.000 0.500 Ru
0.500 0.000 0.000 Ru
0.000 0.000 0.000 C
0.500 0.500 0.500 Ba

=====

| no. | V (Å³ per atom) | magnetization (μB/cell) |
| --- | --- | --- |
| 1 | 18.75 | 0.004 |
| 2 | 19.16 | 0.000 |
| 3 | 28.51 | 2.721 |
| 4 | 33.97 | 0.178 |
| 5 | 14.62 | 0.000 |
| 6 | 31.46 | 2.168 |
| 7 | 20.21 | 0.142 |
| 8 | 26.78 | 0.000 |
| 9 | 41.59 | 1.135 |
| 10 | 28.52 | 0.001 |
| 11 | 37.35 | 1.003 |
| 12 | 15.98 | 0.000 |